(1)
Compound: SrNiMo
Source: Alexandria via LeMat-Bulk
Functional: GGA-PBEsol
Structure: optimized geometry

Results
V: 22.5 Å³ per atom
SG: No. 187
density: 5.959 g/cm³
Fermi-level density of states: 0.789 states/eV per atom
E_form: 61.4 kJ/mol of atoms

abc: 3.965 3.965 4.958
angles: 90.00 90.00 120.00
Fractional positions:
Mo1 0.000 0.000 0.000
Ni1 0.333 0.667 0.000
Sr1 0.667 0.333 0.500

(2)
Compound: TaNiMo2
Source: Alexandria via LeMat-Bulk
Functional: GGA-PBEsol
Structure: optimized geometry

Results
V: 14.8 Å³ per atom
distance to the lowest polymorph of the same formula: 0.111 eV/atom
SG: No. 139
density: 12.134 g/cm³
Fermi-level density of states: 1.146 states/eV per atom
E_form: 13.8 kJ/mol of atoms

abc: 3.795 3.795 4.900
angles: 112.78 112.78 90.00
Fractional positions:
Mo1 0.750 0.250 0.500
Mo2 0.250 0.750 0.500
Ni1 0.500 0.500 0.000
Ta1 0.000 0.000 0.000

> Which of these has the highest Fermi-level density of states?

TaNiMo2